(1)
Here is crystalline TbZnPtRh at its relaxed geometry from Alexandria via LeMat-Bulk. Energies are from PBE.

Cell lengths 6.547, 6.547, 6.547 Å; angles 90.00, 90.00, 90.00 degrees
Sites, in units of the cell vectors:
Tb: 0.000 0.000 0.000
Tb: 0.000 0.500 0.500
Tb: 0.500 0.000 0.500
Tb: 0.500 0.500 0.000
Zn: 0.000 0.000 0.500
Zn: 0.000 0.500 0.000
Zn: 0.500 0.000 0.000
Zn: 0.500 0.500 0.500
Pt: 0.250 0.250 0.250
Pt: 0.250 0.750 0.750
Pt: 0.750 0.250 0.750
Pt: 0.750 0.750 0.250
Rh: 0.250 0.250 0.750
Rh: 0.250 0.750 0.250
Rh: 0.750 0.250 0.250
Rh: 0.750 0.750 0.750

Results
The value obtained for the total energy is -5.566 eV/atom. For the formation energy, the calculation gives -71.5 kJ per mole of atoms. Its mass density is 12.37 g/cm3.

(2)
Here is crystalline LiPaZnHg at its relaxed geometry from Alexandria via LeMat-Bulk. Energies are from PBE.

Cell lengths 6.986, 6.986, 6.986 Å; angles 90.00, 90.00, 90.00 degrees
Sites, in units of the cell vectors:
Li: 0.000 0.000 0.000
Li: 0.000 0.500 0.500
Li: 0.500 0.000 0.500
Li: 0.500 0.500 0.000
Pa: 0.000 0.000 0.500
Pa: 0.000 0.500 0.000
Pa: 0.500 0.000 0.000
Pa: 0.500 0.500 0.500
Zn: 0.250 0.250 0.750
Zn: 0.250 0.750 0.250
Zn: 0.750 0.250 0.250
Zn: 0.750 0.750 0.750
Hg: 0.250 0.250 0.250
Hg: 0.250 0.750 0.750
Hg: 0.750 0.250 0.750
Hg: 0.750 0.750 0.250

Results
The value obtained for the total energy is -3.198 eV/atom. For the formation energy, the calculation gives 4.6 kJ per mole of atoms. Its mass density is 9.82 g/cm3.

(3)
Here is crystalline NaAc3Be2O8 at its relaxed geometry from Alexandria via LeMat-Bulk. Energies are from PBE.

Cell lengths 5.396, 5.396, 7.259 Å; angles 90.00, 90.00, 120.00 degrees
Sites, in units of the cell vectors:
Na: 0.000 0.000 0.000
Ac: 0.000 0.000 0.500
Ac: 0.333 0.667 0.159
Ac: 0.667 0.333 0.841
Be: 0.333 0.667 0.693
Be: 0.667 0.333 0.307
O: 0.176 0.352 0.796
O: 0.176 0.824 0.796
O: 0.333 0.667 0.476
O: 0.352 0.176 0.204
O: 0.648 0.824 0.796
O: 0.667 0.333 0.524
O: 0.824 0.176 0.204
O: 0.824 0.648 0.204

Results
The value obtained for the total energy is -6.920 eV/atom. The uncorrected formation energy comes out at -248.89 kJ/mol of atoms. Its mass density is 7.71 g/cm3.

(4)
Here is crystalline ZrMoC2 at its relaxed geometry from Alexandria via LeMat-Bulk. Energies are from PBE.

Cell lengths 3.142, 3.142, 16.635 Å; angles 90.00, 90.00, 120.00 degrees
Sites, in units of the cell vectors:
Zr: 0.000 0.000 0.000
Zr: 0.333 0.667 0.667
Zr: 0.667 0.333 0.333
Mo: 0.000 0.000 0.821
Mo: 0.333 0.667 0.488
Mo: 0.667 0.333 0.154
C: 0.000 0.000 0.234
C: 0.000 0.000 0.417
C: 0.333 0.667 0.084
C: 0.333 0.667 0.901
C: 0.667 0.333 0.568
C: 0.667 0.333 0.751

Results
The energy above the most stable polymorph in this dataset comes out at 167.7 meV per atom. The value obtained for the total energy is -9.651 eV/atom. For the formation energy, the calculation gives -18.7 kJ per mole of atoms. Its mass density is 7.40 g/cm3.

(5)
Here is crystalline Y2MnW at its relaxed geometry from Alexandria via LeMat-Bulk. Energies are from PBE.

Cell lengths 7.371, 7.423, 3.237 Å; angles 90.00, 90.00, 90.00 degrees
Sites, in units of the cell vectors:
Y: 0.250 0.250 0.000
Y: 0.250 0.750 0.000
Y: 0.750 0.250 0.000
Y: 0.750 0.750 0.000
Mn: 0.000 0.000 0.500
Mn: 0.500 0.500 0.500
W: 0.000 0.500 0.500
W: 0.500 0.000 0.500

Results
The energy above the most stable polymorph in this dataset comes out at 340.9 meV per atom. The value obtained for the total energy is -8.195 eV/atom. For the formation energy, the calculation gives 54.7 kJ per mole of atoms. Its mass density is 7.81 g/cm3.

(6)
Here is crystalline Sm8SnPb2 at its relaxed geometry from Alexandria via LeMat-Bulk. Energies are from PBE.

Cell lengths 10.332, 10.332, 6.989 Å; angles 102.26, 102.26, 29.23 degrees
Sites, in units of the cell vectors:
Sm: 0.020 0.020 0.264
Sm: 0.215 0.215 0.835
Sm: 0.342 0.342 0.489
Sm: 0.409 0.409 0.025
Sm: 0.591 0.591 0.975
Sm: 0.658 0.658 0.511
Sm: 0.785 0.785 0.165
Sm: 0.980 0.980 0.736
Sn: 0.500 0.500 0.500
Pb: 0.181 0.181 0.268
Pb: 0.819 0.819 0.732

Results
The value obtained for the total energy is -4.776 eV/atom. For the formation energy, the calculation gives -29.5 kJ per mole of atoms. Its mass density is 8.11 g/cm3.

Listing magnetization for the structures above in their given order: 0.0 1.5 1.9 0.0 6.4 0.0 μB/cell.